HoTm8Sc6: optimized geometry, PBE.

Values from the calculation:
Total moment = 0.00 μB per cell
Relative energy among the computed polymorphs = 0.025 eV per atom
Uncorrected energy = -0.1848 Ha/atom
ΔH_f (0 K) = 0.193 eV/atom

abc: 9.2633 9.2633 17.1735
angles: 90.00 90.00 120.00
Space group R-3 (No. 148, hexagonal axes)
One atom of each set of equivalent atoms:
Ho1 0.0000 0.0000 0.0000 (multiplicity 3)
Tm1 0.0000 0.0000 0.4100 (multiplicity 6)
Tm2 0.0539 0.8111 0.1741 (multiplicity 18)
Sc1 0.0301 0.7383 0.6801 (multiplicity 18)

CaPmMg: optimized geometry, PBE.

Values from the calculation:
Total moment = 0.00 μB per cell
Relative energy among the computed polymorphs = 0.000 eV per atom
Uncorrected energy = -0.1040 Ha/atom
ΔH_f (0 K) = -0.049 eV/atom

abc: 3.837 3.837 13.318
angles: 90.00 90.00 90.00
Space group P4/nmm (No. 129, origin choice 2)
One atom of each set of equivalent atoms:
Ca1 0.250 0.250 0.106 (multiplicity 2)
Pm1 0.250 0.250 0.411 (multiplicity 2)
Mg1 0.250 0.250 0.738 (multiplicity 2)

Sr2BeNb: optimized geometry, PBE.

Values from the calculation:
Total moment = 12.75 μB per cell
Uncorrected energy = -0.1230 Ha/atom
ΔH_f (0 K) = 0.943 eV/atom

abc: 11.231 11.231 4.730
angles: 90.00 90.00 90.00
Space group I-42d (No. 122)
One atom of each set of equivalent atoms:
Sr1 0.084 0.750 0.125 (multiplicity 8)
Be1 0.000 0.000 0.000 (multiplicity 4)
Nb1 0.000 0.000 0.500 (multiplicity 4)

SmDyRhAu: optimized geometry, PBE.

Values from the calculation:
Total moment = 0.00 μB per cell
Relative energy among the computed polymorphs = 0.046 eV per atom
Uncorrected energy = -0.2119 Ha/atom
ΔH_f (0 K) = -0.778 eV/atom

abc: 7.109 7.109 7.109
angles: 90.00 90.00 90.00
Space group F-43m (No. 216)
One atom of each set of equivalent atoms:
Sm1 0.000 0.000 0.000 (multiplicity 4)
Dy1 0.000 0.000 0.500 (multiplicity 4)
Rh1 0.250 0.250 0.250 (multiplicity 4)
Au1 0.250 0.250 0.750 (multiplicity 4)

AuNF2: optimized geometry, PBE.

Values from the calculation:
Total moment = 1.99 μB per cell
Relative energy among the computed polymorphs = 0.073 eV per atom
Uncorrected energy = -0.1100 Ha/atom
Formation energy (no corrections) = 0.844 eV/atom

abc: 3.411 3.411 15.523
angles: 90.00 90.00 90.00
Space group I-42d (No. 122)
One atom of each set of equivalent atoms:
Au1 0.000 0.000 0.000 (multiplicity 4)
N1 0.000 0.000 0.500 (multiplicity 4)
F1 0.248 0.250 0.625 (multiplicity 8)

Ac2ErGe3Pt12: optimized geometry, PBE.

Values from the calculation:
Total moment = 0.00 μB per cell
Uncorrected energy = -0.2178 Ha/atom
ΔH_f (0 K) = -0.420 eV/atom

abc: 8.4548 8.4548 19.0199
angles: 90.00 90.00 120.00
Space group R-3m (No. 166, hexagonal axes)
One atom of each set of equivalent atoms:
Ac1 0.0000 0.0000 0.1046 (multiplicity 6)
Er1 0.0000 0.0000 0.5000 (multiplicity 3)
Ge1 0.0000 0.5000 0.0000 (multiplicity 9)
Pt1 0.0214 0.5107 0.8707 (multiplicity 18)
Pt2 0.0338 0.5169 0.3715 (multiplicity 18)

LiPm2TlTe4: optimized geometry, PBE.

Values from the calculation:
Total moment = 0.00 μB per cell
Uncorrected energy = -0.1638 Ha/atom
Formation energy (no corrections) = -1.163 eV/atom

abc: 4.533 15.078 15.902
angles: 90.00 90.00 90.00
Space group Cmcm (No. 63)
One atom of each set of equivalent atoms:
Li1 0.000 0.161 0.250 (multiplicity 4)
Pm1 0.000 0.366 0.564 (multiplicity 8)
Tl1 0.000 0.112 0.750 (multiplicity 4)
Te1 0.000 0.000 0.000 (multiplicity 4)
Te2 0.000 0.269 0.113 (multiplicity 8)
Te3 0.000 0.440 0.750 (multiplicity 4)

Mg2VW3S8: optimized geometry, PBE.

Values from the calculation:
Total moment = 9.07 μB per cell
Uncorrected energy = -0.2500 Ha/atom
Formation energy (no corrections) = -0.790 eV/atom

abc: 6.8697 6.8697 18.9140
angles: 90.00 90.00 120.00
Space group R3m (No. 160, hexagonal axes)
One atom of each set of equivalent atoms:
Mg1 0.0000 0.0000 0.0000 (multiplicity 3)
Mg2 0.0000 0.0000 0.1707 (multiplicity 3)
V1 0.0000 0.0000 0.6653 (multiplicity 3)
W1 0.0680 0.5340 0.1477 (multiplicity 9)
S1 0.0000 0.0000 0.3871 (multiplicity 3)
S2 0.0000 0.0000 0.8732 (multiplicity 3)
S3 0.0008 0.5004 0.4117 (multiplicity 9)
S4 0.1802 0.3604 0.2380 (multiplicity 9)

Sm3Dy6Tl: optimized geometry, PBE.

Values from the calculation:
Total moment = 0.00 μB per cell
Relative energy among the computed polymorphs = 0.013 eV per atom
Uncorrected energy = -0.1611 Ha/atom
ΔH_f (0 K) = 0.031 eV/atom

abc: 10.607 19.389 6.217
angles: 90.00 90.00 90.00
Space group Cmc2_1 (No. 36)
One atom of each set of equivalent atoms:
Sm1 0.000 0.104 0.000 (multiplicity 4)
Sm2 0.167 0.380 0.343 (multiplicity 8)
Dy1 0.000 0.212 0.574 (multiplicity 4)
Dy2 0.000 0.442 0.834 (multiplicity 4)
Dy3 0.169 0.041 0.474 (multiplicity 8)
Dy4 0.233 0.302 0.811 (multiplicity 8)
Tl1 0.000 0.263 0.087 (multiplicity 4)

CdFe2Pd: optimized geometry, PBE.

Values from the calculation:
Total moment = 24.53 μB per cell
Uncorrected energy = -0.1935 Ha/atom
ΔH_f (0 K) = 0.493 eV/atom

abc: 7.135 7.135 5.244
angles: 90.00 90.00 90.00
Space group I-42d (No. 122)
One atom of each set of equivalent atoms:
Cd1 0.000 0.000 0.000 (multiplicity 4)
Fe1 0.225 0.750 0.625 (multiplicity 8)
Pd1 0.000 0.000 0.500 (multiplicity 4)

Cs2InCl: optimized geometry, PBE.

Values from the calculation:
Total moment = 0.00 μB per cell
Relative energy among the computed polymorphs = 0.000 eV per atom
Uncorrected energy = -0.0834 Ha/atom
Formation energy (no corrections) = -0.695 eV/atom

abc: 4.5245 4.5245 36.2659
angles: 90.00 90.00 120.00
Space group R-3m (No. 166, hexagonal axes)
One atom of each set of equivalent atoms:
Cs1 0.0000 0.0000 0.1050 (multiplicity 6)
In1 0.0000 0.0000 0.0000 (multiplicity 3)
Cl1 0.0000 0.0000 0.5000 (multiplicity 3)

SmTh2Ni: optimized geometry, PBE.

Values from the calculation:
Total moment = 0.00 μB per cell
Relative energy among the computed polymorphs = 0.140 eV per atom
Uncorrected energy = -0.2351 Ha/atom
ΔH_f (0 K) = -0.064 eV/atom

abc: 3.7711 3.7711 27.9917
angles: 90.00 90.00 120.00
Space group R3m (No. 160, hexagonal axes)
One atom of each set of equivalent atoms:
Sm1 0.0000 0.0000 0.0000 (multiplicity 3)
Th1 0.0000 0.0000 0.2272 (multiplicity 3)
Th2 0.0000 0.0000 0.4346 (multiplicity 3)
Ni1 0.0000 0.0000 0.8306 (multiplicity 3)